[1]
The following is a DFT calculation (PBE) of a relaxed NdInSi2O6 crystal.

abc: 8.0643 11.9471 7.2959
angles: 90.00 90.53 90.00
Closest atoms and distances in Å follow each position.
Space group C2/c (No. 15)
Unique sites:
Nd: 0.0000 0.1552 0.2500 (multiplicity 4)  6 O 2.28-2.47
In: 0.0000 0.4164 0.7500 (multiplicity 4)  2 O 2.50
Si: 0.1539 0.1210 0.7515 (multiplicity 8)  4 O 1.59-1.73
O: 0.9999 0.1394 0.5870 (multiplicity 8)  2 Si 1.73
O: 0.2092 0.2835 0.2482 (multiplicity 8)  1 Si 1.59
O: 0.2104 0.0085 0.2525 (multiplicity 8)  1 Si 1.61

Summary:
- uncorrected formation energy (eV per atom) = -2.553
- Fermi-level density of states (states/eV per atom) = 0.0000


[2]
The following is a DFT calculation (PBE) of a relaxed Ho3NiCl3 crystal.

abc: 6.5703 6.5703 31.3030
angles: 90.00 90.00 120.00
Closest atoms and distances in Å follow each position.
Space group R-3 (No. 148, hexagonal axes)
Unique sites:
Ho: 0.0000 0.3425 0.4495 (multiplicity 18)  2 Ni 2.68, 3 Cl 2.79-2.81
Ni: 0.0000 0.0000 0.1667 (multiplicity 6)  6 Ho 2.68
Cl: 0.0000 0.3270 0.6062 (multiplicity 18)  3 Ho 2.79-2.81

Summary:
- uncorrected formation energy (eV per atom) = -1.392
- Fermi-level density of states (states/eV per atom) = 0.4263


- What is the uncorrected formation energy in the second record?
  -1.392 eV per atom